Below is a geometry-optimized ScCoCl2 structure, with properties calculated at the PBE level.

Summary:
As for the energy relative to the elements, uncorrected: -0.301 eV per atom. As for the density of states at the Fermi level: 10.6 states/eV/cell. The energy above the most stable polymorph in this dataset is 0.610 eV/atom.

Cell: 6.262 6.262 6.262 Å, 90.00 90.00 90.00°
Space group Fm-3m (No. 225)
One atom of each set of equivalent atoms:
1 Sc 0.000 0.000 0.000 (multiplicity 4)
2 Co 0.000 0.000 0.500 (multiplicity 4)
3 Cl 0.250 0.250 0.250 (multiplicity 8)

Below is a geometry-optimized ScCoCl3 structure, with properties calculated at the PBE level.

Summary:
As for the energy relative to the elements, uncorrected: -0.486 eV per atom. As for the density of states at the Fermi level: 7.4 states/eV/cell. The energy above the most stable polymorph in this dataset is 0.129 eV/atom.

Cell: 4.728 4.728 4.728 Å, 90.00 90.00 90.00°
Space group Pm-3m (No. 221)
One atom of each set of equivalent atoms:
1 Sc 0.000 0.000 0.000 (multiplicity 1)
2 Co 0.500 0.500 0.500 (multiplicity 1)
3 Cl 0.000 0.500 0.500 (multiplicity 3)

Below is a geometry-optimized ScCo2Cl structure, with properties calculated at the PBE level.

Summary:
As for the energy relative to the elements, uncorrected: -0.004 eV per atom. As for the density of states at the Fermi level: 4.0 states/eV/cell. The energy above the most stable polymorph in this dataset is 0.372 eV/atom.

Cell: 3.202 3.759 5.119 Å, 90.00 90.00 90.00°
Space group Pmmm (No. 47)
One atom of each set of equivalent atoms:
1 Sc 0.000 0.000 0.000 (multiplicity 1)
2 Co 0.000 0.500 0.500 (multiplicity 1)
3 Co 0.500 0.000 0.500 (multiplicity 1)
4 Cl 0.500 0.500 0.000 (multiplicity 1)

Below is a geometry-optimized ScCo2Cl structure, with properties calculated at the PBE level.

Summary:
As for the energy relative to the elements, uncorrected: -0.376 eV per atom. As for the density of states at the Fermi level: 1.8 states/eV/cell. The energy above the most stable polymorph in this dataset is 0.000 eV/atom.

Cell: 3.6612 3.6612 6.2376 Å, 90.00 90.00 120.00°
Space group P3m1 (No. 156)
One atom of each set of equivalent atoms:
1 Sc 0.0000 0.0000 0.0000 (multiplicity 1)
2 Co 0.3333 0.6667 0.2408 (multiplicity 1)
3 Co 0.6667 0.3333 0.3425 (multiplicity 1)
4 Cl 0.6667 0.3333 0.7247 (multiplicity 1)

Below is a geometry-optimized ScCo2Cl structure, with properties calculated at the PBE level.

Summary:
As for the energy relative to the elements, uncorrected: 0.259 eV per atom. As for the density of states at the Fermi level: 9.2 states/eV/cell. The energy above the most stable polymorph in this dataset is 0.635 eV/atom.

Cell: 4.361 4.361 13.983 Å, 90.00 90.00 90.00°
Space group I-42d (No. 122)
One atom of each set of equivalent atoms:
1 Sc 0.000 0.000 0.000 (multiplicity 4)
2 Co 0.089 0.250 0.625 (multiplicity 8)
3 Cl 0.000 0.000 0.500 (multiplicity 4)

Below is a geometry-optimized ScCo2Cl structure, with properties calculated at the PBE level.

Summary:
As for the energy relative to the elements, uncorrected: 0.188 eV per atom. As for the density of states at the Fermi level: 9.7 states/eV/cell. The energy above the most stable polymorph in this dataset is 0.564 eV/atom.

Cell: 4.846 8.556 3.124 Å, 90.00 90.00 90.00°
Space group Cmmm (No. 65)
One atom of each set of equivalent atoms:
1 Sc 0.000 0.000 0.000 (multiplicity 2)
2 Co 0.250 0.250 0.500 (multiplicity 4)
3 Cl 0.000 0.500 0.000 (multiplicity 2)

Below is a geometry-optimized Sc4CoCl5 structure, with properties calculated at the PBE level.

Summary:
As for the energy relative to the elements, uncorrected: -1.511 eV per atom. As for the density of states at the Fermi level: 11.9 states/eV/cell.

Cell: 16.562 3.570 7.873 Å, 90.00 103.37 90.00°
Space group C2/m (No. 12)
One atom of each set of equivalent atoms:
1 Sc 0.001 0.000 0.228 (multiplicity 4)
2 Sc 0.145 0.500 0.077 (multiplicity 4)
3 Co 0.000 0.500 0.000 (multiplicity 2)
4 Cl 0.000 0.500 0.500 (multiplicity 2)
5 Cl 0.167 0.000 0.322 (multiplicity 4)
6 Cl 0.174 0.000 0.851 (multiplicity 4)

Below is a geometry-optimized ScCo2Cl structure, with properties calculated at the PBE level.

Summary:
As for the energy relative to the elements, uncorrected: -0.043 eV per atom. As for the density of states at the Fermi level: 3.6 states/eV/cell. The energy above the most stable polymorph in this dataset is 0.333 eV/atom.

Cell: 3.029 4.778 4.154 Å, 90.00 90.98 90.00°
Space group P2/m (No. 10)
One atom of each set of equivalent atoms:
1 Sc 0.000 0.000 0.000 (multiplicity 1)
2 Co 0.315 0.500 0.237 (multiplicity 2)
3 Cl 0.500 0.000 0.500 (multiplicity 1)

no.,mass density (g cm⁻³)
1,4.7
2,3.3
3,5.3
4,4.5
5,5.0
6,5.1
7,3.1
8,5.5